[1]
The following is a GGA-PBE calculation of LaNb3Cu after structural relaxation, from Alexandria.

Lattice parameters (Å, degrees): 4.8547 4.8547 4.8547 90.00 90.00 90.00
Closest atoms and distances in Å follow each position.
Space group Pm-3m (No. 221)
Symmetry-distinct sites (fractional):
La1 0.0000 0.0000 0.0000  6 Nb 2.43
Nb1 0.0000 0.0000 0.5000  2 La 2.43
Cu1 0.5000 0.5000 0.5000  12 Nb 3.43

***

[2]
The following is a GGA-PBE calculation of LaNbCu2 after structural relaxation, from Alexandria.

Lattice parameters (Å, degrees): 4.5539 4.5539 18.0660 90.00 90.00 90.00
Closest atoms and distances in Å follow each position.
Space group I-42d (No. 122)
Symmetry-distinct sites (fractional):
La1 0.0000 0.0000 0.0000  4 Cu 3.18, 4 Nb 3.22
Nb1 0.0000 0.0000 0.5000  4 Cu 2.55
Cu1 0.0780 0.2500 0.6250  2 Cu 2.39, 2 Nb 2.55

***

[3]
The following is a GGA-PBE calculation of LaNb3Cu after structural relaxation, from Alexandria.

Lattice parameters (Å, degrees): 4.8458 4.8458 4.8458 90.00 90.00 90.00
Closest atoms and distances in Å follow each position.
Space group Pm-3m (No. 221)
Symmetry-distinct sites (fractional):
La1 0.0000 0.0000 0.0000  12 Nb 3.43
Nb1 0.0000 0.5000 0.5000  2 Cu 2.42
Cu1 0.5000 0.5000 0.5000  6 Nb 2.42

***

[4]
The following is a GGA-PBE calculation of LaNb2Cu after structural relaxation, from Alexandria.

Lattice parameters (Å, degrees): 6.6952 6.6952 6.6952 90.00 90.00 90.00
Closest atoms and distances in Å follow each position.
Space group Fm-3m (No. 225)
Symmetry-distinct sites (fractional):
La1 0.0000 0.0000 0.0000  8 Nb 2.90
Nb1 0.2500 0.2500 0.2500  4 La 2.90, 4 Cu 2.90
Cu1 0.0000 0.0000 0.5000  8 Nb 2.90

***

[5]
The following is a GGA-PBE calculation of LaNbCu3 after structural relaxation, from Alexandria.

Lattice parameters (Å, degrees): 4.8130 4.8130 4.8130 90.00 90.00 90.00
Closest atoms and distances in Å follow each position.
Space group Pm-3m (No. 221)
Symmetry-distinct sites (fractional):
La1 0.0000 0.0000 0.0000  12 Cu 3.40
Nb1 0.5000 0.5000 0.5000  6 Cu 2.41
Cu1 0.0000 0.5000 0.5000  2 Nb 2.41

***

[6]
The following is a GGA-PBE calculation of La3NbCu after structural relaxation, from Alexandria.

Lattice parameters (Å, degrees): 5.5536 5.5536 5.5536 90.00 90.00 90.00
Closest atoms and distances in Å follow each position.
Space group Pm-3m (No. 221)
Symmetry-distinct sites (fractional):
La1 0.0000 0.0000 0.5000  2 Nb 2.78
Nb1 0.0000 0.0000 0.0000  6 La 2.78
Cu1 0.5000 0.5000 0.5000  12 La 3.93

***

Number 1: total DFT energy (no corrections) -0.2182 hartree per atom. Number 2: total DFT energy (no corrections) -0.1898 hartree per atom. Number 3: total DFT energy (no corrections) -0.2535 hartree per atom. Number 4: total DFT energy (no corrections) -0.2469 hartree per atom. Number 5: total DFT energy (no corrections) -0.1792 hartree per atom. Number 6: total DFT energy (no corrections) -0.1927 hartree per atom.